Compound: Nd7Bi2Te2
Source: the Alexandria database
Functional: GGA-PBE
Structure: optimized geometry

Cell and atoms, written as POSCAR:
```
Nd7Bi2Te2
1.0
-3.4726 -2.7361 -6.0422
6.1595 -2.3386 -2.4809
-0.4524 -5.9661 4.5004
Nd Te Bi
7 2 2
direct
0.5000 0.7422 0.5000
0.5000 0.7336 0.0000
0.0000 0.7336 0.5000
0.5000 0.2578 0.5000
0.0000 0.2664 0.5000
0.0000 0.0000 0.0000
0.5000 0.2664 0.0000
0.2752 0.9999 0.7248
0.7248 0.0001 0.2752
0.1936 0.5000 0.1936
0.8064 0.5000 0.8064
```

## Properties
ΔE_f (raw) = -0.573 eV per atom
density of states at the Fermi level = 12.616 states/eV/f.u.
total moment = 0.00 μB per formula unit